Record 1
Compound: Ac2LaNd8
Source: Alexandria
Functional: PBE
Structure: relaxed

Cell: 20.3433 7.1992 5.7758 Å, 90.00 93.12 90.00°
Closest atoms and distances in Å follow each position.
Space group C2/m (No. 12)
Symmetry-distinct sites (fractional):
Ac 0.2186 0.0000 0.2559  11 Nd 3.55-3.85
La 0.0000 0.5000 0.0000  10 Nd 3.60-3.94
Nd 0.0441 0.0000 0.2382  1 Nd 3.20, 1 Ac 3.55
Nd 0.1254 0.2329 0.7347  4 Nd 3.35-3.70, 1 La 3.60, 1 Ac 3.71
Nd 0.1772 0.5000 0.2281  4 Nd 3.55-3.70, 4 Ac 3.56-3.70, 1 La 3.77

Values from the calculation:
Uncorrected energy = -0.165 hartree per atom
Distance to the lowest polymorph of the same formula = 0.139 eV per atom

---

Record 2
Compound: Ac2La7Nd3
Source: Alexandria
Functional: PBE
Structure: relaxed

Cell: 6.6656 3.7078 18.4670 Å, 90.00 95.34 90.00°
Closest atoms and distances in Å follow each position.
Space group P2/m (No. 10)
Symmetry-distinct sites (fractional):
Ac 0.0773 0.0000 0.1695  5 La 3.58-3.77, 2 Ac 3.71, 4 Nd 3.74-3.89
La 0.0000 0.5000 0.5000  8 La 3.69-3.76, 4 Nd 3.81
La 0.2187 0.0000 0.6659  8 La 3.71-3.83, 3 Nd 3.74-3.78, 1 Ac 3.77
La 0.2673 0.0000 0.9913  1 La 3.09
La 0.2846 0.5000 0.3377  7 La 3.69-3.83, 3 Nd 3.70-3.82, 2 Ac 3.77
Nd 0.4360 0.5000 0.8335  2 Nd 3.71, 7 La 3.71-4.08, 4 Ac 3.74-3.89
Nd 0.5000 0.0000 0.5000  10 La 3.70-3.81, 2 Nd 3.71

Values from the calculation:
Uncorrected energy = -0.172 hartree per atom
Distance to the lowest polymorph of the same formula = 0.000 eV per atom

---

Record 3
Compound: Ac3La4Nd
Source: Alexandria
Functional: PBE
Structure: relaxed

Cell: 12.0766 5.4071 10.8517 Å, 90.00 116.79 90.00°
Closest atoms and distances in Å follow each position.
Space group C2/m (No. 12)
Symmetry-distinct sites (fractional):
Ac 0.0000 0.0000 0.0000  8 La 3.82-3.85, 4 Ac 3.88
Ac 0.0020 0.5000 0.7448  8 La 3.77-3.88, 2 Nd 3.78, 2 Ac 3.88
La 0.2496 0.0000 0.3778  5 Ac 3.77-3.84, 4 La 3.78-3.83, 3 Nd 3.80-3.82
La 0.2501 0.0000 0.8716  1 Nd 3.80, 7 Ac 3.80-3.88, 4 La 3.83-3.88
Nd 0.0000 0.0000 0.5000  4 Ac 3.78, 8 La 3.80-3.82

Values from the calculation:
Uncorrected energy = -0.168 hartree per atom
Distance to the lowest polymorph of the same formula = 0.000 eV per atom

---

Record 4
Compound: Ac3La5Nd2
Source: Alexandria
Functional: PBE
Structure: relaxed

Cell: 11.3462 15.0228 10.7983 Å, 90.00 121.30 90.00°
Closest atoms and distances in Å follow each position.
Space group C2/c (No. 15)
Symmetry-distinct sites (fractional):
Ac 0.0000 0.0128 0.2500  3 La 3.31-3.55, 2 Nd 3.60
Ac 0.1514 0.3738 0.5549  5 La 3.52-3.74, 1 Nd 3.55, 1 Ac 3.79
La 0.0000 0.2334 0.2500  3 Ac 3.31-3.52, 2 La 3.50, 2 Nd 3.68
La 0.0000 0.2618 0.7500  3 La 3.18-3.51, 2 Nd 3.46
La 0.0000 0.4736 0.7500  1 La 3.18
La 0.2468 0.3729 0.2487  3 La 3.50-3.63, 1 Ac 3.55
Nd 0.1579 0.1322 0.0605  4 La 3.46-3.68, 3 Ac 3.55-3.80

Values from the calculation:
Uncorrected energy = -0.165 hartree per atom